(1)
A plane-wave DFT calculation with PBE was carried out for crystalline GdHo2N at its relaxed geometry.

Cell: 3.155 3.155 8.822 Å, 90.00 90.00 90.00°
Space group P4/mmm (No. 123)
Symmetry-distinct sites (fractional):
1 Gd 0.000 0.000 0.000
2 Ho 0.500 0.500 0.341
3 N 0.000 0.000 0.500

Output
crystal system = tetragonal
magnetic moment = 7.58 μB per formula unit
density = 9.47 g/cm³
E_tot = -8.097 eV per atom


(2)
A plane-wave DFT calculation with PBE was carried out for crystalline La3Nd3Cd at its relaxed geometry.

Cell: 9.701 5.788 9.706 Å, 90.00 119.98 90.00°
Space group P2_1/m (No. 11)
Symmetry-distinct sites (fractional):
1 La 0.021 0.250 0.132
2 La 0.132 0.750 0.611
3 La 0.390 0.750 0.022
4 Nd 0.256 0.750 0.318
5 Nd 0.318 0.250 0.561
6 Nd 0.439 0.250 0.257
7 Cd 0.167 0.250 0.834

Output
crystal system = monoclinic
energy of formation from the pure elements = -0.050 eV/atom
magnetic moment = 0.00 μB per formula unit
density = 6.77 g/cm³


(3)
A plane-wave DFT calculation with PBE was carried out for crystalline Ti2BePd at its relaxed geometry.

Cell: 3.801 3.801 3.944 Å, 90.00 90.00 90.00°
Space group P4/mmm (No. 123)
Symmetry-distinct sites (fractional):
1 Ti 0.000 0.500 0.000
2 Be 0.000 0.000 0.500
3 Pd 0.500 0.500 0.500

Output
crystal system = tetragonal
energy of formation from the pure elements = -0.262 eV/atom
magnetic moment = 0.27 μB per formula unit
density = 6.16 g/cm³


(4)
A plane-wave DFT calculation with PBE was carried out for crystalline Sm4P3 at its relaxed geometry.

Cell: 8.696 8.696 8.696 Å, 90.00 90.00 90.00°
Space group I-43d (No. 220)
Symmetry-distinct sites (fractional):
1 Sm 0.065 0.435 0.565
2 P 0.000 0.250 0.875

Output
crystal system = cubic
energy of formation from the pure elements = -1.311 eV/atom
magnetic moment = 0.00 μB per formula unit
density = 7.01 g/cm³


Q: What is the magnetic moment in the first record?
A: 7.58 μB per formula unit


Q: Look up the magnetic moment of the fourth one.
A: 0.00 μB per formula unit


Q: Which formula does entry 1 have?
A: GdHo2N